VASP calculation (PBE) on crystalline Tm4AgRh3 at its relaxed geometry.

The space group is Pmmm (No. 47) and the conventional cell measures 3.352, 4.921 and 9.773 Å, with angles of 90.00, 90.00 and 90.00 degrees. Symmetry generates all atoms from Tm at (0.000, 0.000, 0.000), Tm at (0.000, 0.000, 0.500), Tm at (0.000, 0.500, 0.238), Ag at (0.500, 0.500, 0.500), Rh at (0.500, 0.000, 0.248) and Rh at (0.500, 0.500, 0.000).

The calculation puts the total magnetic moment at 0.00 μB per formula unit. The value obtained for the formation energy is -792.6 meV per atom.

=====

VASP calculation (PBE) on crystalline CePrNd2 at its relaxed geometry.

The space group is P4/mmm (No. 123) and the conventional cell measures 5.154, 5.154 and 5.152 Å, with angles of 90.00, 90.00 and 90.00 degrees. Symmetry generates all atoms from Ce at (0.000, 0.000, 0.000), Pr at (0.500, 0.500, 0.000) and Nd at (0.000, 0.500, 0.500).

The calculation puts the total magnetic moment at 0.80 μB per formula unit. The value obtained for the formation energy is 83.0 meV per atom. The excess energy over the best structure of this formula in the dataset comes out at 21 meV per atom.

=====

VASP calculation (PBE) on crystalline ErSi2Ni2Os at its relaxed geometry.

The space group is P4/mmm (No. 123) and the conventional cell measures 4.497, 4.497 and 5.326 Å, with angles of 90.00, 90.00 and 90.00 degrees. Symmetry generates all atoms from Er at (0.000, 0.000, 0.000), Si at (0.000, 0.500, 0.500), Ni at (0.500, 0.500, 0.251) and Os at (0.000, 0.000, 0.500).

The calculation puts the total magnetic moment at 0.00 μB per formula unit. The uncorrected formation energy comes out at 38.5 meV/atom.

=====

VASP calculation (PBE) on crystalline TcSbSe2 at its relaxed geometry.

The space group is Pm (No. 6) and the conventional cell measures 4.069, 4.676 and 4.771 Å, with angles of 90.00, 102.60 and 90.00 degrees. Symmetry generates all atoms from Tc at (0.000, 0.000, 0.000), Sb at (0.776, 0.500, 0.271), Se at (0.154, 0.500, 0.864) and Se at (0.470, 0.000, 0.665).

The calculation puts the total magnetic moment at 0.00 μB per formula unit. The uncorrected formation energy comes out at 205.9 meV/atom.

=====

VASP calculation (PBE) on crystalline La2Sn2As at its relaxed geometry.

The space group is P4/mbm (No. 127) and the conventional cell measures 7.899, 7.899 and 4.724 Å, with angles of 90.00, 90.00 and 90.00 degrees. Symmetry generates all atoms from La at (0.173, 0.327, 0.000), Sn at (0.132, 0.632, 0.500) and As at (0.000, 0.000, 0.500).

The calculation puts the total magnetic moment at 0.00 μB per formula unit. The value obtained for the formation energy is -684.7 meV per atom. The excess energy over the best structure of this formula in the dataset comes out at 36 meV per atom.

=====

VASP calculation (PBE) on crystalline LaGe3Ir at its relaxed geometry.

The space group is P6_3/mmc (No. 194) and the conventional cell measures 6.1850, 6.1850 and 6.1145 Å, with angles of 90.00, 90.00 and 120.00 degrees. Symmetry generates all atoms from La at (0.3333, 0.6667, 0.2500), Ge at (0.1928, 0.3857, 0.7500) and Ir at (0.0000, 0.0000, 0.0000).

The calculation puts the total magnetic moment at 0.00 μB per formula unit. The value obtained for the formation energy is -477.2 meV per atom.

=====

VASP calculation (PBE) on crystalline ScInFe2C at its relaxed geometry.

The space group is P4/mmm (No. 123) and the conventional cell measures 4.021, 4.021 and 4.439 Å, with angles of 90.00, 90.00 and 90.00 degrees. Symmetry generates all atoms from Sc at (0.000, 0.000, 0.000), In at (0.500, 0.500, 0.000), Fe at (0.000, 0.500, 0.500) and C at (0.000, 0.000, 0.500).

The calculation puts the total magnetic moment at 4.66 μB per formula unit. The value obtained for the formation energy is -26.9 meV per atom.

=====

VASP calculation (PBE) on crystalline HfTaFe2 at its relaxed geometry.

The space group is I-42d (No. 122) and the conventional cell measures 6.689, 6.689 and 5.650 Å, with angles of 90.00, 90.00 and 90.00 degrees. Symmetry generates all atoms from Hf at (0.000, 0.000, 0.000), Ta at (0.000, 0.000, 0.500) and Fe at (0.235, 0.250, 0.625).

The calculation puts the total magnetic moment at 0.00 μB per formula unit. The value obtained for the formation energy is 413.2 meV per atom.

=====

VASP calculation (PBE) on crystalline BeCdSi2 at its relaxed geometry.

The space group is Fm-3m (No. 225) and the conventional cell measures 6.406, 6.406 and 6.406 Å, with angles of 90.00, 90.00 and 90.00 degrees. Symmetry generates all atoms from Be at (0.000, 0.000, 0.000), Cd at (0.000, 0.000, 0.500) and Si at (0.250, 0.250, 0.250).

The calculation puts the total magnetic moment at 0.00 μB per formula unit. The uncorrected formation energy comes out at 763.6 meV/atom. The excess energy over the best structure of this formula in the dataset comes out at 391 meV per atom.

=====

VASP calculation (PBE) on crystalline Mg2PH2 at its relaxed geometry.

The space group is P4/mbm (No. 127) and the conventional cell measures 6.681, 6.681 and 2.875 Å, with angles of 90.00, 90.00 and 90.00 degrees. Symmetry generates all atoms from Mg at (0.154, 0.346, 0.000), P at (0.000, 0.000, 0.000) and H at (0.117, 0.617, 0.500).

The calculation puts the total magnetic moment at 0.00 μB per formula unit. The excess energy over the best structure of this formula in the dataset comes out at 375 meV per atom.

=====

VASP calculation (PBE) on crystalline HIr2O at its relaxed geometry.

The space group is Fm-3m (No. 225) and the conventional cell measures 5.490, 5.490 and 5.490 Å, with angles of 90.00, 90.00 and 90.00 degrees. Symmetry generates all atoms from H at (0.000, 0.000, 0.000), Ir at (0.250, 0.250, 0.250) and O at (0.000, 0.000, 0.500).

The calculation puts the total magnetic moment at 0.00 μB per formula unit. The excess energy over the best structure of this formula in the dataset comes out at 677 meV per atom.

=====

VASP calculation (PBE) on crystalline LiZn2O2 at its relaxed geometry.

The space group is I4/mmm (No. 139) and the conventional cell measures 3.707, 3.707 and 10.755 Å, with angles of 90.00, 90.00 and 90.00 degrees. Symmetry generates all atoms from Li at (0.000, 0.000, 0.000), Zn at (0.000, 0.500, 0.250) and O at (0.000, 0.000, 0.343).

The calculation puts the total magnetic moment at 0.00 μB per formula unit. The uncorrected formation energy comes out at -802.5 meV/atom. The excess energy over the best structure of this formula in the dataset comes out at 403 meV per atom.

=====

VASP calculation (PBE) on crystalline RbLiHoBr5 at its relaxed geometry.

The space group is C2/c (No. 15) and the conventional cell measures 9.451, 12.812 and 10.624 Å, with angles of 90.00, 113.42 and 90.00 degrees. Symmetry generates all atoms from Rb at (0.000, 0.156, 0.250), Li at (0.000, 0.192, 0.750), Ho at (0.000, 0.500, 0.000), Br at (0.000, 0.427, 0.250), Br at (0.103, 0.301, 0.603) and Br at (0.196, 0.066, 0.924).

The calculation puts the total magnetic moment at 0.00 μB per formula unit. The uncorrected formation energy comes out at -1768.0 meV/atom.

=====

VASP calculation (PBE) on crystalline Pr3Dy2Ho3 at its relaxed geometry.

The space group is Immm (No. 71) and the conventional cell measures 5.970, 5.979 and 14.857 Å, with angles of 90.00, 90.00 and 90.00 degrees. Symmetry generates all atoms from Pr at (0.000, 0.000, 0.000), Pr at (0.000, 0.500, 0.130), Dy at (0.000, 0.000, 0.252), Ho at (0.000, 0.000, 0.500) and Ho at (0.000, 0.500, 0.375).

The calculation puts the total magnetic moment at 0.00 μB per formula unit. The value obtained for the formation energy is 124.4 meV per atom. The excess energy over the best structure of this formula in the dataset comes out at 102 meV per atom.

=====

VASP calculation (PBE) on crystalline ReRu at its relaxed geometry.

The space group is Pmma (No. 51) and the conventional cell measures 4.360, 2.767 and 4.769 Å, with angles of 90.00, 90.00 and 90.00 degrees. Symmetry generates all atoms from Re at (0.250, 0.000, 0.167) and Ru at (0.250, 0.500, 0.673).

The calculation puts the total magnetic moment at 0.00 μB per formula unit. The value obtained for the formation energy is -85.4 meV per atom.

=====

VASP calculation (PBE) on crystalline LaZnSn at its relaxed geometry.

The space group is F-43m (No. 216) and the conventional cell measures 6.881, 6.881 and 6.881 Å, with angles of 90.00, 90.00 and 90.00 degrees. Symmetry generates all atoms from La at (0.000, 0.000, 0.000), Zn at (0.250, 0.250, 0.250) and Sn at (0.000, 0.000, 0.500).

The calculation puts the total magnetic moment at 0.00 μB per formula unit. The value obtained for the formation energy is -512.7 meV per atom.

=====

VASP calculation (PBE) on crystalline LaAsOs2 at its relaxed geometry.

The space group is Pm (No. 6) and the conventional cell measures 2.993, 4.226 and 6.215 Å, with angles of 90.00, 100.70 and 90.00 degrees. Symmetry generates all atoms from La at (0.000, 0.000, 0.000), As at (0.368, 0.500, 0.697), Os at (0.401, 0.000, 0.465) and Os at (0.794, 0.500, 0.341).

The calculation puts the total magnetic moment at 0.00 μB per formula unit. The value obtained for the formation energy is 31.6 meV per atom.

=====

VASP calculation (PBE) on crystalline Mo2PbSe at its relaxed geometry.

The space group is C2/m (No. 12) and the conventional cell measures 5.696, 9.162 and 3.493 Å, with angles of 90.00, 121.91 and 90.00 degrees. Symmetry generates all atoms from Mo at (0.250, 0.250, 0.000), Pb at (0.000, 0.000, 0.500) and Se at (0.000, 0.500, 0.500).

The calculation puts the total magnetic moment at 0.00 μB per formula unit. The uncorrected formation energy comes out at 798.1 meV/atom. The excess energy over the best structure of this formula in the dataset comes out at 660 meV per atom.

=====

VASP calculation (PBE) on crystalline LiAgPb at its relaxed geometry.

The space group is P3m1 (No. 156) and the conventional cell measures 3.2738, 3.2738 and 7.1195 Å, with angles of 90.00, 90.00 and 120.00 degrees. Symmetry generates all atoms from Li at (0.0000, 0.0000, 0.0000), Ag at (0.3333, 0.6667, 0.7142) and Pb at (0.6667, 0.3333, 0.3555).

The calculation puts the total magnetic moment at 0.00 μB per formula unit. The value obtained for the formation energy is -15.2 meV per atom. The excess energy over the best structure of this formula in the dataset comes out at 135 meV per atom.

=====

VASP calculation (PBE) on crystalline LaAlRu at its relaxed geometry.

The space group is F-43m (No. 216) and the conventional cell measures 6.549, 6.549 and 6.549 Å, with angles of 90.00, 90.00 and 90.00 degrees. Symmetry generates all atoms from La at (0.000, 0.000, 0.000), Al at (0.000, 0.000, 0.500) and Ru at (0.250, 0.250, 0.750).

The calculation puts the total magnetic moment at 0.00 μB per formula unit. The value obtained for the formation energy is -205.0 meV per atom.